[1]
# Sc7Ni | Alexandria | PBE-GGA | relaxed
data_Sc7Ni
_chemical_formula_sum 'Sc28 Ni4'
_cell_length_a 8.933
_cell_length_b 8.933
_cell_length_c 8.933
_cell_angle_alpha 90.00
_cell_angle_beta 90.00
_cell_angle_gamma 90.00
_space_group_name_H-M_alt 'F m -3 m'
_space_group_IT_number 225
_space_group_name_Hall '-F 4 2 3'
loop_
_atom_site_label
_atom_site_type_symbol
_atom_site_fract_x
_atom_site_fract_y
_atom_site_fract_z
_atom_site_occupancy
Sc1 Sc 0.000 0.000 0.000 1
Sc2 Sc 0.000 0.250 0.250 1
Ni1 Ni 0.000 0.000 0.500 1
# Formation enthalpy at 0 K ... 83 meV per atom
# Raw total energy ... -197.8 eV per cell

---

[2]
# LiGd2 | Alexandria | PBE-GGA | relaxed
data_LiGd2
_chemical_formula_sum 'Li4 Gd8'
_cell_length_a 5.187
_cell_length_b 5.202
_cell_length_c 12.642
_cell_angle_alpha 90.00
_cell_angle_beta 90.00
_cell_angle_gamma 90.00
_space_group_name_H-M_alt 'F m m m'
_space_group_IT_number 69
_space_group_name_Hall '-F 2 2'
loop_
_atom_site_label
_atom_site_type_symbol
_atom_site_fract_x
_atom_site_fract_y
_atom_site_fract_z
_atom_site_occupancy
Li1 Li 0.000 0.000 0.000 1
Gd1 Gd 0.000 0.000 0.343 1
# Formation enthalpy at 0 K ... 70 meV per atom
# Raw total energy ... -119.5 eV per cell